1.
DyZnSn | PBE-GGA | optimized geometry

For the density, the calculation gives 8.26 g cm⁻³. The formation energy comes out at -0.582 eV per atom. The total moment comes out at 0.0 μB per formula unit.

The structure belongs to space group P6_3/mmc (No. 194); the cell edges are 4.5067, 4.5067 and 15.8490 Å and the angles 90.00°, 90.00° and 120.00°. The inequivalent atoms are Dy at (0.0000, 0.0000, 0.0000), Dy at (0.0000, 0.0000, 0.2500), Zn at (0.3333, 0.6667, 0.1608) and Sn at (0.3333, 0.6667, 0.6132).

2.
K2ZrAl | PBE-GGA | optimized geometry

For the density, the calculation gives 2.02 g cm⁻³. The formation energy comes out at 0.354 eV per atom. The total moment comes out at 0.4 μB per formula unit.

The structure belongs to space group C2/m (No. 12); the cell edges are 21.297, 3.469 and 4.464 Å and the angles 90.00°, 101.91° and 90.00°. The inequivalent atoms are K at (0.153, 0.000, 0.150), Zr at (0.000, 0.000, 0.500) and Al at (0.000, 0.500, 0.000).

3.
BaFeIr4 | PBE-GGA | optimized geometry

For the density, the calculation gives 14.33 g cm⁻³. The formation energy comes out at 0.420 eV per atom. The total moment comes out at 5.1 μB per formula unit.

The structure belongs to space group F-43m (No. 216); the cell edges are 7.641, 7.641 and 7.641 Å and the angles 90.00°, 90.00° and 90.00°. The inequivalent atoms are Ba at (0.000, 0.000, 0.000), Fe at (0.250, 0.250, 0.750) and Ir at (0.124, 0.124, 0.376).